Entry 1:
! ZrH3Pd (PBE-GGA, relaxed); values from VASP
! volume = 52.32 Å³/cell
! raw total energy = -0.1740 Ha/atom
&SYSTEM
  ibrav = 0, nat = 5, ntyp = 3
/
ATOMIC_SPECIES
H 1.01 H.upf
Zr 91.22 Zr.upf
Pd 106.42 Pd.upf
CELL_PARAMETERS angstrom
3.7402 0.0000 0.0000
0.0000 3.7402 0.0000
0.0000 0.0000 3.7402
ATOMIC_POSITIONS crystal
H 0.0000 0.5000 0.0000
H 0.5000 0.0000 0.0000
H 0.0000 0.0000 0.5000
Zr 0.0000 0.0000 0.0000
Pd 0.5000 0.5000 0.5000

Entry 2:
! RbHgAs2O (PBE-GGA, relaxed); values from VASP
! volume = 197.42 Å³/cell
! formation energy (no corrections) = 0.768 eV/atom
&SYSTEM
  ibrav = 0, nat = 5, ntyp = 4
/
ATOMIC_SPECIES
O 16.00 O.upf
Rb 85.47 Rb.upf
Hg 200.59 Hg.upf
As 74.92 As.upf
CELL_PARAMETERS angstrom
-2.8863 -4.1890 -0.2050
4.1284 -3.1180 5.5899
-3.1582 2.0072 3.4521
ATOMIC_POSITIONS crystal
O 0.5000 0.5000 0.5000
Rb 0.0000 0.5000 0.0000
Hg 0.0000 0.0000 0.0000
As 0.0000 0.0000 0.5000
As 0.5000 0.0000 0.0000

Entry 3:
! Hf12TiBi7 (PBE-GGA, relaxed); values from VASP
! volume = 519.16 Å³/cell
! ΔH_f (0 K) = 0.38 eV/atom
&SYSTEM
  ibrav = 0, nat = 20, ntyp = 3
/
ATOMIC_SPECIES
Bi 208.98 Bi.upf
Hf 178.49 Hf.upf
Ti 47.87 Ti.upf
CELL_PARAMETERS angstrom
8.1454 0.4127 0.6194
-1.8685 7.9389 0.6194
-1.8685 -2.4861 7.5650
ATOMIC_POSITIONS crystal
Bi 0.3530 0.0833 0.0654
Hf 0.8516 0.5752 0.4818
Hf 0.6977 0.8559 0.2923
Hf 0.5752 0.4818 0.8516
Bi 0.9346 0.6470 0.9167
Hf 0.2923 0.6977 0.8559
Hf 0.1441 0.7077 0.3023
Hf 0.3023 0.1441 0.7077
Hf 0.5182 0.1484 0.4248
Bi 0.5000 0.5000 0.5000
Hf 0.4818 0.8516 0.5752
Hf 0.1484 0.4248 0.5182
Hf 0.4248 0.5182 0.1484
Bi 0.0654 0.3530 0.0833
Bi 0.6470 0.9167 0.9346
Hf 0.8559 0.2923 0.6977
Bi 0.9167 0.9346 0.6470
Bi 0.0833 0.0654 0.3530
Hf 0.7077 0.3023 0.1441
Ti 0.0000 0.0000 0.0000

Entry 4:
! MgTeSCl2 (PBE-GGA, relaxed); values from VASP
! volume = 120.92 Å³/cell
! formation energy (no corrections) = -0.512 eV/atom
&SYSTEM
  ibrav = 0, nat = 5, ntyp = 4
/
ATOMIC_SPECIES
Te 127.60 Te.upf
Cl 35.45 Cl.upf
Mg 24.30 Mg.upf
S 32.06 S.upf
CELL_PARAMETERS angstrom
-1.8264 -2.6588 3.3335
1.2270 -3.8008 -2.3592
4.9473 -0.0570 2.6650
ATOMIC_POSITIONS crystal
Te 0.5000 0.5000 0.5000
Cl 0.5000 0.0000 0.0000
Cl 0.0000 0.5000 0.0000
Mg 0.0000 0.0000 0.0000
S 0.0000 0.0000 0.5000

Entry 5:
! Y2AlAg (PBE-GGA, relaxed); values from VASP
! volume = 96.85 Å³/cell
! ΔH_f (0 K) = -0.17 eV/atom
&SYSTEM
  ibrav = 0, nat = 4, ntyp = 3
/
ATOMIC_SPECIES
Ag 107.87 Ag.upf
Y 88.91 Y.upf
Al 26.98 Al.upf
CELL_PARAMETERS angstrom
3.3896 0.0000 0.0000
0.0000 3.3896 0.0000
0.0000 0.0000 8.4296
ATOMIC_POSITIONS crystal
Ag 0.0000 0.0000 0.5425
Y 0.0000 0.0000 0.9587
Y 0.5000 0.5000 0.2900
Al 0.5000 0.5000 0.7088

Entry 6:
! Sr2Ag2Te (PBE-GGA, relaxed); values from VASP
! volume = 299.10 Å³/cell
! formation energy (no corrections) = -0.590 eV/atom
&SYSTEM
  ibrav = 0, nat = 10, ntyp = 3
/
ATOMIC_SPECIES
Ag 107.87 Ag.upf
Sr 87.62 Sr.upf
Te 127.60 Te.upf
CELL_PARAMETERS angstrom
-3.8361 -0.9993 -7.3276
5.7913 -5.5395 -2.2765
-2.3790 -3.1770 1.6787
ATOMIC_POSITIONS crystal
Ag 0.3833 0.8833 0.0000
Sr 0.3190 0.1810 0.5000
Ag 0.1167 0.3833 0.0000
Sr 0.6810 0.8190 0.5000
Sr 0.8190 0.3190 0.5000
Ag 0.6167 0.1167 0.0000
Te 0.5000 0.5000 0.0000
Te 0.0000 0.0000 0.0000
Sr 0.1810 0.6810 0.5000
Ag 0.8833 0.6167 0.0000

Entry 7:
! Tb2RuCl (PBE-GGA, relaxed); values from VASP
! volume = 89.93 Å³/cell
! formation energy (no corrections) = -0.893 eV/atom
&SYSTEM
  ibrav = 0, nat = 4, ntyp = 3
/
ATOMIC_SPECIES
Ru 101.07 Ru.upf
Tb 158.93 Tb.upf
Cl 35.45 Cl.upf
CELL_PARAMETERS angstrom
3.3580 0.0000 0.0000
0.0000 3.3580 0.0000
0.0000 0.0000 7.9758
ATOMIC_POSITIONS crystal
Ru 0.5000 0.5000 0.0000
Tb 0.0000 0.0000 0.2126
Tb 0.0000 0.0000 0.7874
Cl 0.5000 0.5000 0.5000

Entry 8:
! Cu2Pt4Au (PBE-GGA, relaxed); values from VASP
! volume = 120.33 Å³/cell
! ΔH_f (0 K) = 0.31 eV/atom
&SYSTEM
  ibrav = 0, nat = 7, ntyp = 3
/
ATOMIC_SPECIES
Pt 195.08 Pt.upf
Cu 63.55 Cu.upf
Au 196.97 Au.upf
CELL_PARAMETERS angstrom
3.5814 0.0000 0.0000
0.0000 3.5814 0.0000
-1.7907 -1.7907 9.3815
ATOMIC_POSITIONS crystal
Pt 0.2500 0.7500 0.5000
Pt 0.7500 0.2500 0.5000
Cu 0.5829 0.5829 0.1658
Au 0.0000 0.0000 0.0000
Pt 0.8603 0.8603 0.7205
Pt 0.1397 0.1397 0.2795
Cu 0.4171 0.4171 0.8342

Entry 9:
! Sr2PrPbO6 (PBE-GGA, relaxed); values from VASP
! volume = 328.95 Å³/cell
! formation energy (no corrections) = -2.167 eV/atom
&SYSTEM
  ibrav = 0, nat = 20, ntyp = 4
/
ATOMIC_SPECIES
O 16.00 O.upf
Pr 140.91 Pr.upf
Sr 87.62 Sr.upf
Pb 207.20 Pb.upf
CELL_PARAMETERS angstrom
-5.6594 -1.9370 -1.1045
2.1965 -5.7276 -1.2104
-0.8004 -2.0735 8.3591
ATOMIC_POSITIONS crystal
O 0.2143 0.1991 0.4397
O 0.3823 0.9453 0.7398
O 0.8823 0.5547 0.2398
O 0.8059 0.7837 0.9354
O 0.1177 0.4453 0.7602
Pr 0.0000 0.5000 0.5000
O 0.7143 0.3009 0.9397
Sr 0.5190 0.5497 0.7497
Sr 0.4810 0.4503 0.2503
Sr 0.9810 0.0497 0.7503
O 0.3059 0.7163 0.4354
O 0.6941 0.2837 0.5646
Sr 0.0190 0.9503 0.2497
O 0.1941 0.2163 0.0646
Pr 0.5000 0.0000 0.0000
Pb 0.0000 0.5000 0.0000
O 0.2857 0.6991 0.0603
Pb 0.5000 0.0000 0.5000
O 0.7857 0.8009 0.5603
O 0.6177 0.0547 0.2602

Entry 10:
! La2AgPd5 (PBE-GGA, relaxed); values from VASP
! volume = 155.00 Å³/cell
! ΔH_f (0 K) = -0.71 eV/atom
&SYSTEM
  ibrav = 0, nat = 8, ntyp = 3
/
ATOMIC_SPECIES
Pd 106.42 Pd.upf
La 138.91 La.upf
Ag 107.87 Ag.upf
CELL_PARAMETERS angstrom
-4.2912 3.9509 -1.3557
-1.1606 -4.1856 4.1226
4.8440 1.9317 2.9438
ATOMIC_POSITIONS crystal
Pd 0.0000 0.2777 0.7778
La 0.5000 0.2778 0.7778
La 0.5000 0.7778 0.2778
Pd 0.0000 0.2777 0.2777
Pd 0.5001 0.7778 0.7778
Pd 0.4999 0.2777 0.2777
Pd 0.0000 0.7778 0.2777
Ag 0.0000 0.7778 0.7778

Entry 11:
! CePmSm2As4 (PBE-GGA, relaxed); values from VASP
! volume = 212.47 Å³/cell
! ΔH_f (0 K) = -1.51 eV/atom
&SYSTEM
  ibrav = 0, nat = 8, ntyp = 4
/
ATOMIC_SPECIES
Ce 140.12 Ce.upf
Pm 145.00 Pm.upf
As 74.92 As.upf
Sm 150.36 Sm.upf
CELL_PARAMETERS angstrom
-2.3696 -2.4235 2.5139
2.7089 -5.9792 -3.2109
4.1971 1.8083 5.6995
ATOMIC_POSITIONS crystal
Ce 0.5000 0.5000 0.0000
Pm 0.0000 0.0000 0.0000
As 0.0000 0.7477 0.2487
Sm 0.5000 0.0000 0.5000
As 0.5000 0.2525 0.2495
As 0.0000 0.2523 0.7513
As 0.5000 0.7475 0.7505
Sm 0.0000 0.5000 0.5000

Entry 12:
! Nb2CrW (PBE-GGA, relaxed); values from VASP
! volume = 64.38 Å³/cell
! ΔH_f (0 K) = 0.01 eV/atom
&SYSTEM
  ibrav = 0, nat = 4, ntyp = 3
/
ATOMIC_SPECIES
Nb 92.91 Nb.upf
Cr 52.00 Cr.upf
W 183.84 W.upf
CELL_PARAMETERS angstrom
3.1834 0.0000 0.0000
0.0000 3.1834 0.0000
0.0000 0.0000 6.3527
ATOMIC_POSITIONS crystal
Nb 0.0000 0.0000 0.7586
Cr 0.5000 0.5000 0.0000
W 0.5000 0.5000 0.5000
Nb 0.0000 0.0000 0.2414

no.,M_tot (Bohr magnetons per cell)
1,0.00
2,0.64
3,0.00
4,1.10
5,0.00
6,0.00
7,0.00
8,0.00
9,2.19
10,0.00
11,0.56
12,0.00